The following is a DFT calculation (PBE) of crystalline Rb2PbS3 at its relaxed geometry.

Computed properties:
crystal system	monoclinic
energy relative to the elements, uncorrected	-4.225	eV per formula unit
theoretical density	3.86	g cm⁻³
M_tot	0.000	μB/f.u.

a = 7.440 Å, b = 7.785 Å, c = 7.785 Å
α = 67.25°, β = 80.60°, γ = 80.60°
Positions (direct):
S 0.750 0.628 0.372
Pb 0.250 0.086 0.914
S 0.487 0.816 0.911
S 0.013 0.089 0.184
S 0.987 0.911 0.816
Rb 0.820 0.502 0.817
S 0.513 0.184 0.089
Rb 0.320 0.817 0.502
Rb 0.680 0.183 0.498
S 0.250 0.372 0.628
Pb 0.750 0.914 0.086
Rb 0.180 0.498 0.183